Entry 1:
Entry from Alexandria: crystalline HfV2Ge3 at its relaxed geometry (PBE-GGA).

Symmetry: Pmc2_1
Energy relative to the elements: -147 meV per atom

Lattice parameters (Å, degrees): 3.173 10.475 6.244 90.00 90.00 90.00
Element x y z (fractional)
Hf: 0.000 0.117 0.000
Hf: 0.000 0.883 0.500
V: 0.000 0.259 0.507
V: 0.000 0.741 0.007
V: 0.500 0.448 0.513
V: 0.500 0.552 0.013
Ge: 0.000 0.388 0.838
Ge: 0.000 0.612 0.338
Ge: 0.500 0.086 0.637
Ge: 0.500 0.308 0.183
Ge: 0.500 0.692 0.683
Ge: 0.500 0.914 0.137

=====

Entry 2:
Entry from Alexandria: crystalline Hf2V3Ge4 at its relaxed geometry (PBE-GGA).

Symmetry: P2_1/c
Energy relative to the lowest polymorph listed for this composition: 0.0000 eV/atom
Energy relative to the elements: -564 meV per atom

Lattice parameters (Å, degrees): 6.742 6.744 6.647 90.00 109.94 90.00
Element x y z (fractional)
Hf: 0.187 0.171 0.052
Hf: 0.187 0.329 0.552
Hf: 0.813 0.671 0.448
Hf: 0.813 0.829 0.948
V: 0.250 0.665 0.246
V: 0.250 0.835 0.746
V: 0.500 0.000 0.500
V: 0.500 0.500 0.000
V: 0.750 0.165 0.254
V: 0.750 0.335 0.754
Ge: 0.085 0.543 0.851
Ge: 0.085 0.957 0.351
Ge: 0.499 0.135 0.863
Ge: 0.499 0.365 0.363
Ge: 0.501 0.635 0.637
Ge: 0.501 0.865 0.137
Ge: 0.915 0.043 0.649
Ge: 0.915 0.457 0.149

=====

Entry 3:
Entry from Alexandria: crystalline Hf2V3Ge4 at its relaxed geometry (PBE-GGA).

Symmetry: Cmce
Energy relative to the lowest polymorph listed for this composition: 0.2253 eV/atom
Energy relative to the elements: -339 meV per atom

Lattice parameters (Å, degrees): 7.595 7.595 7.689 90.00 90.00 138.45
Element x y z (fractional)
Hf: 0.121 0.879 0.919
Hf: 0.379 0.621 0.419
Hf: 0.621 0.379 0.581
Hf: 0.879 0.121 0.081
V: 0.000 0.000 0.500
V: 0.050 0.450 0.750
V: 0.450 0.050 0.250
V: 0.500 0.500 0.000
V: 0.550 0.950 0.750
V: 0.950 0.550 0.250
Ge: 0.191 0.809 0.549
Ge: 0.223 0.277 0.750
Ge: 0.277 0.223 0.250
Ge: 0.309 0.691 0.049
Ge: 0.691 0.309 0.951
Ge: 0.723 0.777 0.750
Ge: 0.777 0.723 0.250
Ge: 0.809 0.191 0.451